[1]
26
Lattice="5.989 0.000 -0.109 0.000 7.781 0.000 0.127 0.000 8.241" Properties=species:S:1:pos:R:3 comment="TlW3O9 (PBE with a Hubbard U, optimized geometry)" magnetic_moment_mub_per_fu=0.998 space_group="No. 11" e_tot_ev_per_atom=-7.1519 de_polymorph_ev_per_fu=0.26 pbc="T T T"
Tl 0.064 1.945 3.530
Tl 6.052 5.836 4.602
W 0.000 0.000 0.000
W 0.000 3.891 0.000
W 3.074 3.881 5.676
W 3.074 0.010 5.676
W 3.041 7.771 2.456
W 3.041 3.900 2.456
O 0.146 1.945 8.224
O 1.577 7.760 6.825
O 1.577 3.912 6.825
O 1.848 7.764 4.079
O 1.848 3.908 4.079
O 3.049 1.945 5.661
O 1.520 7.772 1.341
O 1.520 3.900 1.341
O 3.021 1.945 2.477
O 3.095 5.836 5.655
O 4.596 0.009 6.791
O 4.596 3.881 6.791
O 3.067 5.836 2.471
O 4.267 0.017 4.053
O 4.267 3.873 4.053
O 4.538 0.021 1.307
O 4.538 3.869 1.307
O 5.970 5.836 -0.092

[2]
29
Lattice="8.012 0.000 -2.833 -4.006 6.939 -2.833 0.000 0.000 8.498" Properties=species:S:1:pos:R:3 comment="Tl4W6O19 (PBE with a Hubbard U, optimized geometry)" magnetic_moment_mub_per_fu=1.835 space_group="No. 197" e_tot_ev_per_atom=-6.7484 pbc="T T T"
Tl 0.000 0.000 6.143
Tl -2.896 5.015 -2.048
Tl 1.110 1.923 0.785
Tl 5.791 0.000 -2.048
W 0.743 3.469 4.774
W 3.263 3.469 -1.942
W -1.373 4.561 1.942
W 5.379 2.378 0.891
W 0.630 5.847 -0.891
W 3.376 1.091 3.724
O 5.038 0.000 3.563
O 2.974 0.000 2.103
O 1.487 2.575 -2.103
O 2.519 4.363 -3.563
O -2.519 4.363 3.563
O -1.487 2.575 2.103
O 0.000 0.000 0.000
O 1.696 2.022 3.758
O 3.942 2.089 5.264
O 2.271 4.849 -0.871
O 4.909 4.459 -1.907
O 0.103 4.917 -2.486
O 3.844 2.480 -0.402
O -0.942 2.548 4.795
O 0.201 4.391 3.179
O 5.413 0.458 0.926
O -1.329 6.480 1.962
O -0.304 4.569 0.347
O 4.232 2.369 2.431

[3]
5
Lattice="5.609 0.000 0.000 0.000 5.609 0.000 0.000 0.000 5.609" Properties=species:S:1:pos:R:3 comment="Tl3WO (PBE with a Hubbard U, optimized geometry)" magnetic_moment_mub_per_fu=4.981 space_group="No. 221" e_tot_ev_per_atom=-2.8349 de_polymorph_ev_per_fu=2.35 pbc="T T T"
Tl 0.000 2.805 0.000
Tl 0.000 0.000 2.805
Tl 2.805 0.000 0.000
O 2.805 2.805 2.805
W 0.000 0.000 0.000

[4]
12
Lattice="-3.993 -0.369 3.138 1.660 -4.608 1.382 3.639 2.798 4.959" Properties=species:S:1:pos:R:3 comment="YTl2WO8 (PBE with a Hubbard U, optimized geometry)" magnetic_moment_mub_per_fu=1.014 space_group="No. 10" e_tot_ev_per_atom=-6.4142 pbc="T T T"
Y 1.819 1.399 2.480
Tl 1.572 -0.383 5.992
Tl -0.266 -1.796 3.486
W 0.000 0.000 0.000
O 1.428 -3.252 2.749
O -1.674 -3.582 3.249
O -2.211 -0.533 3.884
O -0.122 1.073 6.730
O 2.980 1.403 6.230
O 3.517 -1.646 5.595
O 0.207 -2.059 5.613
O 1.099 -0.120 3.866